# 1
## CsSnBi (PBE)

Data for CsSnBi after structural relaxation.

Cell lengths 4.6646, 7.0357, 8.9290 Å; angles 103.84, 90.19, 90.02 degrees
Closest atoms and distances in Å follow each position.
Space group P-1 (No. 2)
Unique sites:
Cs 0.2484 0.2865 0.2035 (multiplicity 2)  3 Sn 3.79-3.87, 3 Bi 4.00-4.10
Sn 0.2490 0.7940 0.4710 (multiplicity 2)  3 Bi 3.05-3.14
Bi 0.2509 0.1708 0.7424 (multiplicity 2)  3 Sn 3.05-3.14

## Properties
Energy of formation   -0.256 eV/atom
DOS at the Fermi energy   0.1457 states/eV/atom
Magnetic moment   0.0 μB/cell
E   -3.17 eV per atom

---

# 2
## Li2ZnCo (PBE)

Data for Li2ZnCo after structural relaxation.

Cell lengths 2.5228, 2.5228, 8.3664 Å; angles 90.00, 90.00, 90.00 degrees
Closest atoms and distances in Å follow each position.
Space group P4/mmm (No. 123)
Unique sites:
Li 0.0000 0.0000 0.2380 (multiplicity 2)  4 Li 2.52, 4 Co 2.67
Zn 0.5000 0.5000 0.5000 (multiplicity 1)  4 Zn 2.52
Co 0.5000 0.5000 0.0000 (multiplicity 1)  4 Co 2.52, 8 Li 2.67

## Properties
Energy of formation   0.079 eV/atom
DOS at the Fermi energy   0.4701 states/eV/atom
Magnetic moment   1.5 μB/cell
E   -2.97 eV per atom

---

# 3
## FeTc2Hg (PBE)

Data for FeTc2Hg after structural relaxation.

Cell lengths 2.7837, 2.7837, 27.3232 Å; angles 90.00, 90.00, 120.00 degrees
Closest atoms and distances in Å follow each position.
Space group R-3m (No. 166, hexagonal axes)
Unique sites:
Fe 0.0000 0.0000 0.0000 (multiplicity 3)  6 Tc 2.57, 6 Fe 2.78
Tc 0.0000 0.0000 0.2598 (multiplicity 6)  3 Fe 2.57, 6 Tc 2.78
Hg 0.0000 0.0000 0.5000 (multiplicity 3)  6 Hg 2.78, 6 Tc 3.01

## Properties
Energy of formation   0.439 eV/atom
DOS at the Fermi energy   1.1452 states/eV/atom
Magnetic moment   4.0 μB/cell
E   -6.94 eV per atom

---

# 4
## RbTl2Zn2 (PBE)

Data for RbTl2Zn2 after structural relaxation.

Cell lengths 9.0572, 9.0572, 3.4715 Å; angles 90.00, 90.00, 90.00 degrees
Closest atoms and distances in Å follow each position.
Space group P4/mbm (No. 127)
Unique sites:
Rb 0.0000 0.0000 0.0000 (multiplicity 2)  2 Rb 3.47, 4 Zn 3.54, 8 Tl 3.84
Tl 0.1546 0.3454 0.5000 (multiplicity 4)  6 Zn 3.12-3.25, 2 Tl 3.47
Zn 0.1313 0.6313 0.0000 (multiplicity 4)  6 Tl 3.12-3.25, 3 Zn 3.36-3.47

## Properties
ΔE to the lowest computed polymorph   82 meV per atom
Energy of formation   0.120 eV/atom
DOS at the Fermi energy   0.5080 states/eV/atom
Magnetic moment   0.0 μB/cell
E   -1.53 eV per atom

---

# 5
## InCuW2 (PBE)

Data for InCuW2 after structural relaxation.

Cell lengths 3.8220, 3.8220, 4.4748 Å; angles 90.00, 90.00, 90.00 degrees
Closest atoms and distances in Å follow each position.
Space group P4/mmm (No. 123)
Unique sites:
In 0.0000 0.0000 0.0000 (multiplicity 1)  4 Cu 2.70, 8 W 2.94
Cu 0.5000 0.5000 0.0000 (multiplicity 1)  4 In 2.70, 8 W 2.94
W 0.0000 0.5000 0.5000 (multiplicity 2)  4 W 2.70, 4 In 2.94, 4 Cu 2.94

## Properties
Energy of formation   0.482 eV/atom
DOS at the Fermi energy   0.5875 states/eV/atom
Magnetic moment   0.0 μB/cell
E   -7.70 eV per atom

---

# 6
## TbTmLu4 (PBE)

Data for TbTmLu4 after structural relaxation.

Cell lengths 9.1232, 9.1232, 9.1232 Å; angles 90.00, 90.00, 90.00 degrees
Closest atoms and distances in Å follow each position.
Space group F-43m (No. 216)
Unique sites:
Tb 0.0000 0.0000 0.0000 (multiplicity 4)  12 Lu 3.78, 4 Tm 3.95
Tm 0.2500 0.2500 0.7500 (multiplicity 4)  12 Lu 3.78, 4 Tb 3.95
Lu 0.1248 0.1248 0.3752 (multiplicity 16)  6 Lu 3.22-3.23

## Properties
Energy of formation   0.278 eV/atom
DOS at the Fermi energy   1.9878 states/eV/atom
Magnetic moment   5.1 μB/cell
E   -4.25 eV per atom